The following is a PBE calculation of an optimized crystal structure of TlGaAg4, from the Alexandria database.

Lattice parameters (Å, degrees): 7.9005 7.9005 7.9005 90.00 90.00 90.00
Last column: nearest neighbours and their distance in Å.
Space group F-43m (No. 216)
Asymmetric unit:
Tl  0.0000  0.0000  0.0000 (multiplicity 4)  12 Ag 3.28, 4 Ga 3.42
Ga  0.2500  0.2500  0.7500 (multiplicity 4)  12 Ag 3.27, 4 Tl 3.42
Ag  0.1248  0.1248  0.3752 (multiplicity 16)  6 Ag 2.79-2.80

Results
Calculated formation energy = 0.13 eV/atom
Uncorrected energy = -2.67 eV per atom